Entry 1:
TbNd7Ho4 PBE-GGA relaxed; calculated density = 7.5 Mg/m³; symmetry = P-1; total magnetic moment = 0.00 μB/cell; crystal system = triclinic; formation enthalpy at 0 K = 0.004 eV per atom; D(E_F) = 1.269 states/eV/atom
1.0
6.3249 0.0000 0.0000
0.0029 7.2928 0.0000
2.1022 0.0034 8.7442
Tb Nd Ho
1 7 4
Cartesian
0.0000 0.0000 0.0000
0.0014 3.6464 0.0000
2.1063 0.0012 2.9252
3.1693 1.8340 5.8186
5.2579 5.4549 8.7286
3.1720 1.8412 0.0156
5.2606 5.4622 2.9257
6.3236 7.2949 5.8190
2.0966 3.6459 2.9340
3.1602 5.4499 5.8326
5.2697 1.8462 2.9116
6.3333 3.6502 5.8103



Entry 2:
TlIn2NiCl PBE-GGA relaxed; calculated density = 6.8 Mg/m³; symmetry = P4/mmm; formation energy (no corrections) = -0.3453 eV per atom; total magnetic moment = 0.00 μB/cell; crystal system = tetragonal; D(E_F) = 0.158 states/eV/atom
1.0
5.0174 0.0000 0.0000
0.0000 5.0174 0.0000
0.0000 0.0000 5.1406
Tl In Ni Cl
1 2 1 1
Cartesian
0.0000 0.0000 0.0000
0.0000 2.5087 2.5703
2.5087 0.0000 2.5703
0.0000 0.0000 2.5703
2.5087 2.5087 0.0000



Entry 3:
MnSnPHS PBE-GGA relaxed; calculated density = 4.2 Mg/m³; symmetry = P1; VASP energy = -0.195 Ha/atom; total magnetic moment = 2.74 μB/cell; crystal system = triclinic; D(E_F) = 0.324 states/eV/atom
1.0
3.4234 0.0000 0.0000
1.7114 3.3513 0.0000
0.0817 0.9558 8.0970
Mn Sn P H S
1 1 1 1 1
Cartesian
0.0000 0.0000 0.0000
1.7102 3.2932 2.9124
1.7114 1.2407 0.9945
1.7945 1.8075 5.8278
3.5051 3.9460 6.4492



> Look up the calculated density of the third one.

4.2 Mg/m³